(1)
The following is a PBE calculation of crystalline ZnGaNiRh at its relaxed geometry, from Alexandria via LeMat-Bulk.

```
ZnGaNiRh
1.0
3.264 0.000 0.000
0.000 3.997 0.000
0.000 0.000 4.045
Zn Ga Ni Rh
1 1 1 1
direct
0.000 0.000 0.000
0.000 0.500 0.500
0.500 0.500 0.000
0.500 0.000 0.500
```

Output
ΔE to the lowest computed polymorph	0	meV/atom
formation enthalpy at 0 K	-0.462	eV per atom

---

(2)
The following is a PBE calculation of crystalline ZrGaNiRh at its relaxed geometry, from Alexandria via LeMat-Bulk.

```
ZrGaNiRh
1.0
-2.035 2.035 3.687
2.035 -2.035 3.687
2.035 2.035 -3.687
Zr Ga Ni Rh
1 1 1 1
direct
0.000 0.000 0.000
0.500 0.500 0.000
0.750 0.250 0.500
0.250 0.750 0.500
```

Output
ΔE to the lowest computed polymorph	0	meV/atom
formation enthalpy at 0 K	-0.649	eV per atom

---

Q: What is the formation enthalpy at 0 K in the first record?
A: -0.462 eV per atom

---

Repeat the first record exactly.
The following is a PBE calculation of crystalline ZnGaNiRh at its relaxed geometry, from Alexandria via LeMat-Bulk.

```
ZnGaNiRh
1.0
3.264 0.000 0.000
0.000 3.997 0.000
0.000 0.000 4.045
Zn Ga Ni Rh
1 1 1 1
direct
0.000 0.000 0.000
0.000 0.500 0.500
0.500 0.500 0.000
0.500 0.000 0.500
```

Output
ΔE to the lowest computed polymorph	0	meV/atom
formation enthalpy at 0 K	-0.462	eV per atom

---

Q: ΔE to the lowest computed polymorph of number 1 (ZnGaNiRh)?
A: 0 meV/atom